# 1
An optimized crystal structure of BaIn2Au9. Source: Alexandria via LeMat-Bulk, functional PBE.

**Energy of formation**: -0.247 eV per atom
**Theoretical density**: 13.52 g/cm³
**Spin magnetization**: 0.000 μB per atom

a b c (Å): 5.725 5.725 9.828
angles (deg): 73.07 73.07 60.00
Positions (direct):
1 Ba 0.000 0.000 0.000
2 In 0.853 0.853 0.440
3 In 0.147 0.147 0.560
4 Au 0.667 0.667 0.000
5 Au 0.333 0.333 0.000
6 Au 0.500 0.500 0.500
7 Au 0.413 0.413 0.255
8 Au 0.919 0.413 0.255
9 Au 0.413 0.919 0.255
10 Au 0.587 0.587 0.745
11 Au 0.587 0.081 0.745
12 Au 0.081 0.587 0.745

***

# 2
An optimized crystal structure of BaInAu2. Source: Alexandria via LeMat-Bulk, functional PBE.

**Energy of formation**: -0.551 eV per atom
**Theoretical density**: 9.41 g/cm³
**Spin magnetization**: 0.000 μB per atom

a b c (Å): 4.862 4.862 6.244
angles (deg): 67.06 67.06 59.80
Positions (direct):
1 Au 0.957 0.957 0.131
2 Au 0.543 0.543 0.369
3 Ba 0.750 0.750 0.750
4 In 0.250 0.250 0.250

***

# 3
An optimized crystal structure of Ba6In2Au. Source: Alexandria via LeMat-Bulk, functional PBE.

**Energy of formation**: -0.288 eV per atom
**Theoretical density**: 5.11 g/cm³
**Spin magnetization**: 0.000 μB per atom

a b c (Å): 10.183 10.183 10.183
angles (deg): 71.37 71.44 111.24
Positions (direct):
1 Ba 0.162 0.767 0.070
2 Ba 0.838 0.233 0.930
3 Ba 0.162 0.233 0.605
4 Ba 0.838 0.767 0.395
5 Ba 0.479 0.278 0.798
6 Ba 0.521 0.722 0.202
7 Ba 0.076 0.278 0.202
8 Ba 0.924 0.722 0.798
9 Ba 0.335 0.052 0.282
10 Ba 0.665 0.948 0.718
11 Ba 0.335 0.617 0.718
12 Ba 0.665 0.383 0.282
13 In 0.125 0.625 0.500
14 In 0.875 0.375 0.500
15 In 0.365 0.000 0.635
16 In 0.635 0.000 0.365
17 Au 0.500 0.500 0.000
18 Au 0.000 0.000 0.000

***

# 4
An optimized crystal structure of Ba3In3Au8. Source: Alexandria via LeMat-Bulk, functional PBE.

**Energy of formation**: -0.527 eV per atom
**Theoretical density**: 10.70 g/cm³
**Spin magnetization**: 0.000 μB per atom

a b c (Å): 4.926 9.184 9.184
angles (deg): 66.83 74.44 74.44
Positions (direct):
1 Ba 0.500 0.500 0.500
2 Ba 0.792 0.208 0.208
3 Ba 0.208 0.792 0.792
4 In 0.500 0.000 0.000
5 In 0.000 0.799 0.201
6 In 0.000 0.201 0.799
7 Au 0.635 0.078 0.651
8 Au 0.365 0.922 0.349
9 Au 0.635 0.651 0.078
10 Au 0.365 0.349 0.922
11 Au 0.839 0.800 0.521
12 Au 0.161 0.200 0.479
13 Au 0.839 0.521 0.800
14 Au 0.161 0.479 0.200

***

# 5
An optimized crystal structure of Ba2In3Au5. Source: Alexandria via LeMat-Bulk, functional PBE.

**Energy of formation**: -0.471 eV per atom
**Theoretical density**: 9.85 g/cm³
**Spin magnetization**: 0.000 μB per atom

a b c (Å): 4.792 4.792 11.777
angles (deg): 90.00 90.00 90.00
Positions (direct):
1 Ba 0.500 0.000 0.219
2 Ba 0.000 0.500 0.781
3 In 0.500 0.000 0.638
4 In 0.000 0.500 0.362
5 In 0.000 0.000 0.500
6 Au 0.500 0.500 0.000
7 Au 0.000 0.000 0.000
8 Au 0.500 0.000 0.868
9 Au 0.000 0.500 0.132
10 Au 0.500 0.500 0.500

***

# 6
An optimized crystal structure of Ba8In3Au2. Source: Alexandria via LeMat-Bulk, functional PBE.

**Energy of formation**: -0.356 eV per atom
**Theoretical density**: 5.48 g/cm³
**Spin magnetization**: 0.000 μB per atom

a b c (Å): 6.195 10.002 10.280
angles (deg): 119.11 90.06 90.00
Positions (direct):
1 Ba 0.001 0.684 0.368
2 Ba 0.999 0.316 0.632
3 Ba 0.000 0.104 0.208
4 Ba 0.000 0.896 0.792
5 Ba 0.500 0.604 0.756
6 Ba 0.500 0.152 0.756
7 Ba 0.500 0.848 0.244
8 Ba 0.500 0.396 0.244
9 In 0.500 0.000 0.000
10 In 0.000 0.341 0.000
11 In 0.000 0.659 0.000
12 Au 0.499 0.232 0.465
13 Au 0.501 0.768 0.535

***

# 7
An optimized crystal structure of Ba2InAu. Source: Alexandria via LeMat-Bulk, functional PBE.

**Energy of formation**: -0.519 eV per atom
**Theoretical density**: 6.78 g/cm³
**Spin magnetization**: 0.000 μB per atom

a b c (Å): 4.133 4.133 8.407
angles (deg): 90.00 90.00 90.00
Positions (direct):
1 Au 0.500 0.500 0.000
2 Ba 0.000 0.000 0.766
3 Ba 0.000 0.000 0.234
4 In 0.500 0.500 0.500

***

# 8
An optimized crystal structure of BaIn2Au. Source: Alexandria via LeMat-Bulk, functional PBE.

**Energy of formation**: -0.240 eV per atom
**Theoretical density**: 8.42 g/cm³
**Spin magnetization**: 0.000 μB per atom

a b c (Å): 5.398 5.398 5.398
angles (deg): 60.00 60.00 60.00
Positions (direct):
1 Au 0.500 0.500 0.500
2 Ba 0.000 0.000 0.000
3 In 0.250 0.250 0.250
4 In 0.750 0.750 0.750

***

- The lowest theoretical density belongs to which entry?
  Ba6In2Au

***

- What is the energy of formation in the second record?
  -0.551 eV per atom

***

What did the third record say?
An optimized crystal structure of Ba6In2Au. Source: Alexandria via LeMat-Bulk, functional PBE.

**Energy of formation**: -0.288 eV per atom
**Theoretical density**: 5.11 g/cm³
**Spin magnetization**: 0.000 μB per atom

a b c (Å): 10.183 10.183 10.183
angles (deg): 71.37 71.44 111.24
Positions (direct):
1 Ba 0.162 0.767 0.070
2 Ba 0.838 0.233 0.930
3 Ba 0.162 0.233 0.605
4 Ba 0.838 0.767 0.395
5 Ba 0.479 0.278 0.798
6 Ba 0.521 0.722 0.202
7 Ba 0.076 0.278 0.202
8 Ba 0.924 0.722 0.798
9 Ba 0.335 0.052 0.282
10 Ba 0.665 0.948 0.718
11 Ba 0.335 0.617 0.718
12 Ba 0.665 0.383 0.282
13 In 0.125 0.625 0.500
14 In 0.875 0.375 0.500
15 In 0.365 0.000 0.635
16 In 0.635 0.000 0.365
17 Au 0.500 0.500 0.000
18 Au 0.000 0.000 0.000

***

- Which of these has the lowest theoretical density?
  Ba6In2Au